# 1
DFT (GGA-PBE) results for crystalline InSn2Bi2 at its relaxed geometry.

```
InSn2Bi2
1.0
-2.3672 2.3672 7.5481
2.3672 -2.3672 7.5481
2.3672 2.3672 -7.5481
In Sn Bi
1 2 2
Direct
0.0000 0.0000 0.0000
0.3992 0.3992 0.0000
0.6008 0.6008 0.0000
0.2500 0.7500 0.5000
0.7500 0.2500 0.5000
```

Output
- SG: I4/mmm (139)
- Uncorrected energy: -3.52 eV per atom
- Fermi-level density of states: 3.1 states/eV/f.u.
- Calculated formation energy: 0.182 eV per atom

---

# 2
DFT (GGA-PBE) results for crystalline In2SnBi at its relaxed geometry.

```
In2SnBi
1.0
5.0483 0.0000 0.0000
0.0000 5.0483 0.0000
0.0000 0.0000 4.5000
In Sn Bi
2 1 1
Direct
0.0000 0.5000 0.0000
0.5000 0.0000 0.0000
0.0000 0.0000 0.5000
0.5000 0.5000 0.5000
```

Output
- SG: P4/mmm (123)
- Uncorrected energy: -3.29 eV per atom
- Fermi-level density of states: 2.0 states/eV/f.u.
- Calculated formation energy: 0.049 eV per atom

---

# 3
DFT (GGA-PBE) results for crystalline InSn3Bi at its relaxed geometry.

```
InSn3Bi
1.0
5.9299 0.0000 0.0000
0.0000 5.9299 0.0000
0.0000 0.0000 5.9299
In Sn Bi
1 3 1
Direct
0.0000 0.0000 0.0000
0.0000 0.5000 0.5000
0.5000 0.0000 0.5000
0.5000 0.5000 0.0000
0.5000 0.5000 0.5000
```

Output
- SG: Pm-3m (221)
- Uncorrected energy: -3.03 eV per atom
- Fermi-level density of states: 4.4 states/eV/f.u.
- Calculated formation energy: 0.698 eV per atom

---

# 4
DFT (GGA-PBE) results for crystalline In3Sn2Bi at its relaxed geometry.

```
In3Sn2Bi
1.0
6.8437 0.0000 0.0000
0.0000 5.7554 0.0000
-2.4008 0.0000 8.6840
In Sn Bi
6 4 2
Direct
0.0156 0.2500 0.4098
0.1686 0.7500 0.2792
0.3176 0.7500 0.9229
0.6824 0.2500 0.0771
0.8314 0.2500 0.7208
0.9844 0.7500 0.5902
0.1396 0.2500 0.0574
0.4953 0.2500 0.3870
0.5047 0.7500 0.6130
0.8604 0.7500 0.9426
0.3597 0.2500 0.7530
0.6403 0.7500 0.2470
```

Output
- SG: P2_1/m (11)
- Uncorrected energy: -3.29 eV per atom
- Fermi-level density of states: 4.0 states/eV/f.u.
- Calculated formation energy: 0.062 eV per atom